i.
# SbMoRhI2

Crystalline SbMoRhI2 at its relaxed geometry (GGA-PBE, the Alexandria database).

total magnetic moment	0.247	μB/atom
SG	P4/mmm, No. 123
mass density	6.2	g/cm³

a b c (Å): 5.4086 5.4086 5.2306
angles (deg): 90.00 90.00 90.00
Fractional positions:
Sb: 0.0000 0.0000 0.0000
Mo: 0.0000 0.0000 0.5000
Rh: 0.5000 0.5000 0.0000
I: 0.0000 0.5000 0.5000
I: 0.5000 0.0000 0.5000

---

ii.
# SbMoRhI2

Crystalline SbMoRhI2 at its relaxed geometry (GGA-PBE, the Alexandria database).

total magnetic moment	0.948	μB/atom
SG	P4/mmm, No. 123
mass density	6.2	g/cm³

a b c (Å): 5.5578 5.5578 5.0012
angles (deg): 90.00 90.00 90.00
Fractional positions:
Sb: 0.0000 0.0000 0.0000
Mo: 0.5000 0.5000 0.0000
Rh: 0.0000 0.0000 0.5000
I: 0.0000 0.5000 0.5000
I: 0.5000 0.0000 0.5000

---

Least stable structure: i